[1]
{
  "formula": "EuSbPtAu",
  "functional": "GGA-PBE",
  "state": "relaxed",
  "lattice_angstrom": [[4.998, 0.000, 0.000], [2.499, 4.329, 0.000], [2.499, 1.443, 4.081]],
  "species": ["Pt", "Sb", "Au", "Eu"],
  "frac_coords": [[0.500, 0.500, 0.500], [0.250, 0.250, 0.250], [0.000, 0.000, 0.000], [0.750, 0.750, 0.750]],
  "e_tot_ev_per_atom": -6.497
}

---

[2]
{
  "formula": "TlBi2OsPt",
  "functional": "GGA-PBE",
  "state": "relaxed",
  "lattice_angstrom": [[5.478, 0.000, 0.000], [0.000, 4.892, 0.000], [0.000, 0.000, 5.478]],
  "species": ["Pt", "Bi", "Bi", "Os", "Tl"],
  "frac_coords": [[0.000, 0.000, 0.000], [0.000, 0.000, 0.500], [0.500, 0.000, 0.000], [0.000, 0.500, 0.000], [0.500, 0.500, 0.500]],
  "ef_ev_per_atom": 1.033
}

---

[3]
{
  "formula": "LiLaCd4",
  "functional": "GGA-PBE",
  "state": "relaxed",
  "lattice_angstrom": [[-5.102, 1.842, -2.445], [-2.848, -3.467, -3.908], [-5.134, -2.597, 1.516]],
  "species": ["Li", "Cd", "Cd", "Cd", "La", "Cd"],
  "frac_coords": [[0.000, 0.000, 0.000], [0.124, 0.625, 0.625], [0.625, 0.124, 0.625], [0.625, 0.625, 0.625], [0.250, 0.250, 0.250], [0.625, 0.625, 0.124]],
  "ef_ev_per_atom": -0.211,
  "polymorph_energy_mev_per_atom": 38
}

---

[4]
{
  "formula": "TlCoAg2",
  "functional": "GGA-PBE",
  "state": "relaxed",
  "lattice_angstrom": [[2.979, 0.014, 0.000], [-0.014, 2.979, 0.000], [0.000, 0.000, 8.535]],
  "species": ["Ag", "Ag", "Tl", "Co"],
  "frac_coords": [[0.000, 0.000, 0.451], [0.000, 0.000, 0.049], [0.500, 0.500, 0.750], [0.500, 0.500, 0.250]],
  "ef_ev_per_atom": 0.412,
  "polymorph_energy_mev_per_atom": 54
}

---

no.,size of the total moment (μB per formula unit)
1,6.9
2,0.0
3,0.0
4,1.7